TbAsP after structural relaxation. Source: Alexandria via LeMat-Bulk, functional GGA-PBE.

a b c (Å): 4.127 4.127 7.644
angles (deg): 90.01 90.01 92.30
Positions (direct):
P 0.250 0.250 0.695
As 0.000 0.500 0.000
Tb 0.750 0.750 0.674
P 0.750 0.750 0.305
Tb 0.250 0.250 0.326
As 0.500 0.000 0.000

Calculated density in Mg/m³: 6.760
Volume in Å³ per cell: 130
Energy of formation in kJ/mol of formula units: -247
Space group: Cmme (67)


Tb8Te4AsP3 after structural relaxation. Source: Alexandria via LeMat-Bulk, functional GGA-PBE.

a b c (Å): 8.304 8.568 8.304
angles (deg): 118.99 120.00 90.00
Positions (direct):
Tb 0.737 0.710 0.473
Tb 0.760 0.287 0.519
P 0.000 0.500 0.500
Tb 0.240 0.713 0.972
Tb 0.268 0.287 0.028
P 0.500 0.500 0.500
Te 0.000 0.000 0.500
As 0.000 0.500 0.000
P 0.500 0.500 0.000
Tb 0.760 0.287 0.028
Te 0.000 0.000 0.000
Te 0.500 0.000 0.500
Tb 0.732 0.713 0.972
Tb 0.263 0.290 0.527
Te 0.500 0.000 0.000
Tb 0.240 0.713 0.481

Calculated density in Mg/m³: 7.635
Volume in Å³ per cell: 424
Formation energy without anion corrections in meV per atom: -1551.4
Space group: R-3m (166)


Tb6TeAs2P3 after structural relaxation. Source: Alexandria via LeMat-Bulk, functional GGA-PBE.

a b c (Å): 4.109 8.282 9.217
angles (deg): 103.16 102.88 90.00
Positions (direct):
Tb 0.675 0.084 0.350
P 0.835 0.167 0.670
P 0.500 0.500 0.000
P 0.165 0.833 0.330
Tb 0.001 0.728 0.002
Tb 0.999 0.272 0.998
As 0.833 0.667 0.667
Te 0.500 0.000 0.000
Tb 0.334 0.413 0.667
Tb 0.325 0.916 0.650
As 0.167 0.333 0.333
Tb 0.666 0.587 0.333

Calculated density in Mg/m³: 7.394
Volume in Å³ per cell: 297
Formation energy without anion corrections in meV per atom: -1574.4
Space group: C2/m (12)